PBE-GGA Fe5Co3, relaxed; distance to the lowest polymorph of the same formula = 0.438 eV per formula unit; SG = C2 (5); spin magnetization = 18.27 μB per formula unit; E_form = -0.05 eV per formula unit; E_tot = -7.96 eV/atom
1.0
-0.416 7.600 -3.591
-2.179 -4.709 6.626
1.517 1.112 1.601
Co Fe
3 5
direct
0.999 0.999 0.996
0.625 0.875 0.500
0.501 0.501 0.004
0.250 0.749 0.997
0.874 0.626 0.500
0.127 0.373 0.500
0.751 0.250 0.003
0.374 0.126 0.500